VASP calculation (GGA-PBE) on a geometry-optimized ZrBe2Ir structure.

The structure in extended XYZ format:
```
4
Lattice="2.937 0.000 0.000 0.000 2.937 0.000 0.000 0.000 6.330" Properties=species:S:1:pos:R:3 pbc="T T T"
Zr 0.000 0.000 0.000
Be 0.000 0.000 3.193
Be 1.468 1.468 1.997
Ir 1.468 1.468 4.350
```

Summary:
ρ	9.17	g/cm3
energy relative to the elements	-1.2	eV per formula unit
energy above the lowest structure with this stoichiometry	226	meV/atom
space group	P4mm

***

VASP calculation (GGA-PBE) on a geometry-optimized KBe structure.

The structure in extended XYZ format:
```
2
Lattice="0.000 3.795 3.795 3.795 0.000 3.795 3.795 3.795 0.000" Properties=species:S:1:pos:R:3 pbc="T T T"
K 0.000 0.000 0.000
Be 1.897 1.897 1.897
```

Summary:
ρ	0.73	g/cm3
energy relative to the elements	3.1	eV per formula unit
energy above the lowest structure with this stoichiometry	964	meV/atom
space group	F-43m

***

VASP calculation (GGA-PBE) on a geometry-optimized KBe structure.

The structure in extended XYZ format:
```
8
Lattice="5.881 0.000 0.000 -2.941 5.093 0.000 0.000 0.000 8.356" Properties=species:S:1:pos:R:3 pbc="T T T"
K 0.000 0.000 2.089
K 0.000 0.000 6.267
K 0.000 3.396 2.089
K 2.941 1.698 6.267
Be 0.000 3.396 5.214
Be 0.000 3.396 7.320
Be 2.941 1.698 1.036
Be 2.941 1.698 3.142
```

Summary:
ρ	1.28	g/cm3
energy relative to the elements	2.1	eV per formula unit
energy above the lowest structure with this stoichiometry	476	meV/atom
space group	P6_3/mmc

***

Number 1: total energy -6.507 eV per atom. Number 2: total energy -0.864 eV per atom. Number 3: total energy -1.352 eV per atom.